SrCd2S: optimized geometry, PBE.

Unit cell a=8.773 b=8.773 c=6.834 alpha=50.07 beta=50.07 gamma=90.00
Positions (direct):
Sr 0.000 0.000 0.000
S 0.250 0.750 0.500
Sr 0.750 0.250 0.500
S 0.500 0.500 0.000
Cd 0.875 0.825 0.750
Cd 0.175 0.625 0.250
Cd 0.575 0.125 0.250
Cd 0.375 0.425 0.750

Output
- E (eV per atom) = -2.54
- N(E_F) (states/eV/f.u.) = 0.111
- formation energy from raw total energies (eV/atom) = -0.633

Tb3ErSe4: optimized geometry, PBE.

Unit cell a=5.772 b=5.772 c=5.772 alpha=90.00 beta=90.00 gamma=90.00
Positions (direct):
Tb 0.500 0.500 0.000
Tb 0.500 0.000 0.500
Tb 0.000 0.500 0.500
Se 0.000 0.500 0.000
Se 0.000 0.000 0.500
Se 0.500 0.500 0.500
Er 0.000 0.000 0.000
Se 0.500 0.000 0.000

Output
- E (eV per atom) = -5.79
- N(E_F) (states/eV/f.u.) = 5.045
- formation energy from raw total energies (eV/atom) = -1.741
- distance to the lowest polymorph of the same formula (meV per atom) = 15

Fe2CuRu: optimized geometry, PBE.

Unit cell a=4.867 b=4.867 c=4.867 alpha=145.47 beta=129.14 gamma=62.93
Positions (direct):
Fe 0.241 0.741 0.500
Cu 0.759 0.259 0.500
Ru 0.490 0.490 0.000
Fe 0.010 0.010 0.000

Output
- E (eV per atom) = -7.37
- N(E_F) (states/eV/f.u.) = 4.419
- energy of formation (meV per atom) = 206
- distance to the lowest polymorph of the same formula (meV per atom) = 42